Material: Hf2Os
Method: DFT, PBE
State: relaxed

Unit cell a=6.0099 b=6.0099 c=3.9956 alpha=90.00 beta=90.00 gamma=90.00
Atoms (fractional coordinates):
Os  0.5000  0.5000  0.5000
Os  0.0000  0.0000  0.0000
Hf  0.6955  0.6955  0.0000
Hf  0.8045  0.1955  0.5000
Hf  0.1955  0.8045  0.5000
Hf  0.3045  0.3045  0.0000

Output
As for the formation energy: 12.5 kJ/mol of atoms. Its volume is 24.053 Å³/atom. The value obtained for the total energy is -10.25 eV per atom.

---

Material: DyNbN2O
Method: DFT, PBE
State: relaxed

Unit cell a=3.6356 b=6.2219 c=5.7747 alpha=90.00 beta=90.00 gamma=90.00
Atoms (fractional coordinates):
N  0.5000  0.3993  0.5860
N  0.5000  0.6007  0.0860
N  0.0000  0.2085  0.2892
N  0.0000  0.7915  0.7892
Dy  0.0000  0.1521  0.6856
Dy  0.0000  0.8479  0.1856
Nb  0.5000  0.3239  0.2286
Nb  0.5000  0.6761  0.7286
O  0.5000  0.0983  0.9611
O  0.5000  0.9017  0.4611

Output
Its volume is 13.063 Å³/atom. The value obtained for the total energy is -9.05 eV per atom.

---

volume of number 1 (Hf2Os)?
24.053 Å³/atom